(1)
Below is an optimized crystal structure of La2PmY2Tm2, with properties calculated at the PBE level.

```
La2PmY2Tm2
1.0
5.111 0.000 0.000
-2.555 5.688 0.285
0.000 -1.580 7.954
La Pm Y Tm
2 1 2 2
Direct
0.143 0.287 0.427
0.857 0.713 0.573
0.000 0.000 0.000
0.571 0.141 0.720
0.429 0.859 0.280
0.716 0.432 0.138
0.284 0.568 0.862
```

DOS(E_F)   11.7 states/eV per cell
Energy relative to the elements   0.033 eV per atom
Raw total energy   -36.2 eV per cell
Total magnetization   0.00 μB/atom

---

(2)
Below is an optimized crystal structure of Ac4ZnPd, with properties calculated at the PBE level.

```
Ac4ZnPd
1.0
-2.216 0.031 -4.879
-4.375 -2.389 1.972
-3.116 6.856 1.447
Ac Zn Pd
4 1 1
Direct
0.501 0.997 0.252
0.502 0.998 0.744
0.002 0.498 0.744
0.001 0.497 0.252
0.501 0.497 0.998
0.001 0.997 0.498
```

Polymorph energy (0 for the lowest one)   0.144 eV/atom
DOS(E_F)   9.5 states/eV per cell
Energy relative to the elements   -0.159 eV per atom
Raw total energy   -23.9 eV per cell
Total magnetization   0.00 μB/atom